An optimized crystal structure of PaV2Tc. Source: Alexandria via LeMat-Bulk, functional GGA-PBE.

Output
The total energy comes out at -9.4061 eV/atom.

Lattice parameters (Å, degrees): 4.5239 4.5239 3.1743 90.00 90.00 90.00
Last column: nearest neighbours and their distance in Å.
Fractional positions:
Pa 0.0000 0.0000 0.0000  8 V 2.76
V 0.0000 0.5000 0.5000  4 Pa 2.76, 4 Tc 2.76
V 0.5000 0.0000 0.5000  4 Pa 2.76, 4 Tc 2.76
Tc 0.5000 0.5000 0.0000  8 V 2.76

An optimized crystal structure of CeHoTh3. Source: Alexandria via LeMat-Bulk, functional GGA-PBE.

Output
The total energy comes out at -6.5219 eV/atom.

Lattice parameters (Å, degrees): 3.5403 3.5403 28.7539 90.00 90.00 120.00
Last column: nearest neighbours and their distance in Å.
Fractional positions:
Ce 0.3333 0.6667 0.0000  6 Th 3.45-3.50, 6 Ce 3.54
Ce 0.6667 0.3333 0.5000  6 Th 3.45-3.50, 6 Ce 3.54
Ho 0.0000 0.0000 0.3035  6 Th 3.52-3.61, 6 Ho 3.54
Ho 0.0000 0.0000 0.8035  6 Th 3.52-3.61, 6 Ho 3.54
Th 0.0000 0.0000 0.0988  3 Ce 3.50, 9 Th 3.54-3.55
Th 0.0000 0.0000 0.5988  3 Ce 3.50, 9 Th 3.54-3.55
Th 0.3333 0.6667 0.4032  3 Ce 3.45, 3 Ho 3.52, 6 Th 3.54
Th 0.3333 0.6667 0.6998  9 Th 3.54-3.55, 3 Ho 3.61
Th 0.6667 0.3333 0.1998  9 Th 3.54-3.55, 3 Ho 3.61
Th 0.6667 0.3333 0.9032  3 Ce 3.45, 3 Ho 3.52, 6 Th 3.54

An optimized crystal structure of AlP2. Source: Alexandria via LeMat-Bulk, functional GGA-PBE.

Output
The total energy comes out at -4.5937 eV/atom.

Lattice parameters (Å, degrees): 4.2131 4.2131 4.2131 60.00 60.00 60.00
Last column: nearest neighbours and their distance in Å.
Fractional positions:
Al 0.0000 0.0000 0.0000  8 P 2.58
P 0.2500 0.2500 0.2500  4 Al 2.58
P 0.7500 0.7500 0.7500  4 Al 2.58

An optimized crystal structure of InSbN2. Source: Alexandria via LeMat-Bulk, functional GGA-PBE.

Output
The uncorrected formation energy is 1.274 eV/atom.

Lattice parameters (Å, degrees): 4.2822 4.2822 4.2822 60.00 60.00 60.00
Last column: nearest neighbours and their distance in Å.
Fractional positions:
In 0.0000 0.0000 0.0000  8 N 2.62
Sb 0.5000 0.5000 0.5000  8 N 2.62
N 0.2500 0.2500 0.2500  4 Sb 2.62, 4 In 2.62
N 0.7500 0.7500 0.7500  4 Sb 2.62, 4 In 2.62

An optimized crystal structure of Cs3Li2I2Cl4. Source: Alexandria via LeMat-Bulk, functional GGA-PBE.

Output
The uncorrected formation energy is -1.530 eV/atom.

Lattice parameters (Å, degrees): 15.8065 15.8065 15.8065 161.29 161.29 26.57
Last column: nearest neighbours and their distance in Å.
Fractional positions:
Cs 0.0000 0.0000 0.0000  8 Cl 3.55
Cs 0.1555 0.1555 0.0000  4 Cl 3.47, 1 I 3.79
Cs 0.8445 0.8445 0.0000  4 Cl 3.47, 1 I 3.79
Li 0.4174 0.4174 0.0000  4 Cl 2.57
Li 0.5826 0.5826 0.0000  4 Cl 2.57
I 0.2786 0.2786 0.0000  5 Cs 3.79-4.16, 4 I 4.04
I 0.7214 0.7214 0.0000  5 Cs 3.79-4.16, 4 I 4.04
Cl 0.0795 0.5795 0.5000  2 Li 2.57
Cl 0.4205 0.9205 0.5000  2 Li 2.57
Cl 0.5795 0.0795 0.5000  2 Li 2.57
Cl 0.9205 0.4205 0.5000  2 Li 2.57

An optimized crystal structure of KNaSmTaO5. Source: Alexandria via LeMat-Bulk, functional GGA-PBE.

Output
The uncorrected formation energy is -2.740 eV/atom.

Lattice parameters (Å, degrees): 5.7439 5.7439 8.3571 90.00 90.00 90.00
Last column: nearest neighbours and their distance in Å.
Fractional positions:
K 0.2500 0.7500 0.0000  4 O 2.89
K 0.7500 0.2500 0.0000  4 O 2.89
Na 0.2500 0.2500 0.2407  5 O 2.32-2.33
Na 0.7500 0.7500 0.7593  5 O 2.32-2.33
Sm 0.2500 0.7500 0.5000  8 O 2.47
Sm 0.7500 0.2500 0.5000  8 O 2.47
Ta 0.2500 0.2500 0.7389  5 O 1.87-1.97
Ta 0.7500 0.7500 0.2611  5 O 1.87-1.97
O 0.0189 0.0189 0.6675  1 Ta 1.97
O 0.0189 0.4811 0.6675  1 Ta 1.97
O 0.2500 0.2500 0.9623  1 Ta 1.87
O 0.4811 0.0189 0.6675  1 Ta 1.97
O 0.4811 0.4811 0.6675  1 Ta 1.97
O 0.5189 0.5189 0.3325  1 Ta 1.97
O 0.5189 0.9811 0.3325  1 Ta 1.97
O 0.7500 0.7500 0.0377  1 Ta 1.87
O 0.9811 0.5189 0.3325  1 Ta 1.97
O 0.9811 0.9811 0.3325  1 Ta 1.97

| no. | DOS(E_F) (states/eV per cell) | size of the total moment (μB per cell) | theoretical density (g/cm3) |
| --- | --- | --- | --- |
| 1 | 5.87 | 0.0 | 11.01 |
| 2 | 17.63 | 0.0 | 10.65 |
| 3 | 3.07 | 0.0 | 2.79 |
| 4 | 1.65 | 0.0 | 7.91 |
| 5 | 4.19 | 1.1 | 3.31 |
| 6 | 0.00 | 0.0 | 5.70 |